No. 1
HfAl2Ge2 | PBE | optimized geometry

Values from the calculation:
Crystal system   tetragonal
N(E_F)   5.06 states/eV per cell
ΔE_f   -0.56 eV per formula unit

abc: 7.086 7.086 3.580
angles: 90.00 90.00 90.00
Element x y z (fractional)
Hf (0.000, 0.000, 0.000)
Hf (0.500, 0.500, 0.000)
Al (0.156, 0.344, 0.500)
Al (0.344, 0.844, 0.500)
Al (0.656, 0.156, 0.500)
Al (0.844, 0.656, 0.500)
Ge (0.140, 0.640, 0.000)
Ge (0.360, 0.140, 0.000)
Ge (0.640, 0.860, 0.000)
Ge (0.860, 0.360, 0.000)

No. 2
P2IrC2 | PBE | optimized geometry

Values from the calculation:
Crystal system   triclinic
N(E_F)   0.62 states/eV per cell
ΔE_f   1.82 eV per formula unit
Distance to the lowest polymorph of the same formula   0.000 eV per atom

abc: 4.066 4.265 4.352
angles: 77.22 64.11 77.68
Element x y z (fractional)
P (0.000, 0.000, 0.000)
P (0.276, 0.821, 0.491)
Ir (0.840, 0.569, 0.446)
C (0.289, 0.170, 0.132)
C (0.637, 0.265, 0.903)

No. 3
MgAg2Au | PBE | optimized geometry

Values from the calculation:
Crystal system   tetragonal
N(E_F)   1.34 states/eV per cell
ΔE_f   -1.06 eV per formula unit

abc: 5.046 5.046 5.046
angles: 130.98 130.98 71.84
Element x y z (fractional)
Mg (0.000, 0.000, 0.000)
Ag (0.500, 0.500, 0.000)
Ag (0.750, 0.250, 0.500)
Au (0.250, 0.750, 0.500)

No. 4
Tc2BiTeMo | PBE | optimized geometry

Values from the calculation:
Crystal system   tetragonal
N(E_F)   4.73 states/eV per cell
Energy relative to the elements, uncorrected   1.56 eV/atom
Distance to the lowest polymorph of the same formula   0.173 eV per atom

abc: 4.879 4.879 4.992
angles: 90.00 90.00 90.00
Element x y z (fractional)
Tc (0.000, 0.500, 0.000)
Tc (0.500, 0.000, 0.000)
Bi (0.000, 0.000, 0.500)
Te (0.500, 0.500, 0.000)
Mo (0.500, 0.500, 0.500)

No. 5
Hf2ScRu4 | PBE | optimized geometry

Values from the calculation:
Crystal system   tetragonal
N(E_F)   7.47 states/eV per cell
ΔE_f   -0.83 eV per formula unit

abc: 5.456 5.456 5.456
angles: 109.69 109.69 109.04
Element x y z (fractional)
Hf (0.000, 0.500, 0.500)
Hf (0.500, 0.000, 0.500)
Sc (0.000, 0.000, 0.000)
Ru (0.000, 0.000, 0.500)
Ru (0.000, 0.500, 0.000)
Ru (0.500, 0.000, 0.000)
Ru (0.500, 0.500, 0.500)

No. 6
LiSmGe2O6 | PBE | optimized geometry

Values from the calculation:
Crystal system   monoclinic
N(E_F)   0.00 states/eV per cell
Energy relative to the elements, uncorrected   -2.21 eV/atom

abc: 7.175 7.175 5.784
angles: 104.94 104.94 86.78
Element x y z (fractional)
Li (0.227, 0.773, 0.750)
Li (0.773, 0.227, 0.250)
Sm (0.120, 0.880, 0.250)
Sm (0.880, 0.120, 0.750)
Ge (0.222, 0.385, 0.297)
Ge (0.385, 0.222, 0.797)
Ge (0.615, 0.778, 0.203)
Ge (0.778, 0.615, 0.703)
O (0.041, 0.200, 0.170)
O (0.145, 0.618, 0.405)
O (0.200, 0.041, 0.670)
O (0.312, 0.399, 0.037)
O (0.382, 0.855, 0.095)
O (0.399, 0.312, 0.537)
O (0.601, 0.688, 0.463)
O (0.618, 0.145, 0.905)
O (0.688, 0.601, 0.963)
O (0.800, 0.959, 0.330)
O (0.855, 0.382, 0.595)
O (0.959, 0.800, 0.830)

No. 7
SrIrCl | PBE | optimized geometry

Values from the calculation:
Crystal system   cubic
N(E_F)   0.12 states/eV per cell
Energy relative to the elements, uncorrected   0.18 eV/atom
Distance to the lowest polymorph of the same formula   1.436 eV per atom

abc: 5.171 5.171 5.171
angles: 60.00 60.00 60.00
Element x y z (fractional)
Sr (0.000, 0.000, 0.000)
Ir (0.250, 0.250, 0.250)
Cl (0.750, 0.750, 0.750)

No. 8
Ag5AsS4F2 | PBE | optimized geometry

Values from the calculation:
Crystal system   orthorhombic
Energy relative to the elements, uncorrected   -0.40 eV/atom

abc: 7.281 6.392 6.392
angles: 124.39 90.00 90.00
Element x y z (fractional)
Ag (0.000, 0.000, 0.000)
Ag (0.256, 0.312, 0.709)
Ag (0.256, 0.709, 0.312)
Ag (0.744, 0.312, 0.709)
Ag (0.744, 0.709, 0.312)
As (0.500, 0.109, 0.109)
S (0.243, 0.309, 0.309)
S (0.500, 0.045, 0.728)
S (0.500, 0.728, 0.045)
S (0.757, 0.309, 0.309)
F (0.000, 0.584, 0.925)
F (0.000, 0.925, 0.584)